1.
Compound: FeSnRh2
Source: the Alexandria database
Functional: PBE
Structure: optimized geometry

```
data_FeSnRh2
_space_group_name_H-M_alt 'P 4/m m m'
_space_group_IT_number 123
_space_group_name_Hall '-P 4 2'
_cell_length_a 4.183
_cell_length_b 4.183
_cell_length_c 3.516
_cell_angle_alpha 90.00
_cell_angle_beta 90.00
_cell_angle_gamma 90.00
loop_
_atom_site_label
_atom_site_type_symbol
_atom_site_fract_x
_atom_site_fract_y
_atom_site_fract_z
_atom_site_occupancy
Fe1 Fe 0.000 0.000 0.000 1
Sn1 Sn 0.500 0.500 0.000 1
Rh1 Rh 0.000 0.500 0.500 1
```

Calculated values
Total magnetic moment in μB per cell: 4.06
Electronic total energy in eV per atom: -7.02
Density of states at the Fermi level in states/eV/f.u.: 3.3


2.
Compound: YTe3Ir
Source: the Alexandria database
Functional: PBE
Structure: optimized geometry

```
data_YTe3Ir
_space_group_name_H-M_alt 'P m -3 m'
_space_group_IT_number 221
_space_group_name_Hall '-P 4 2 3'
_cell_length_a 5.260
_cell_length_b 5.260
_cell_length_c 5.260
_cell_angle_alpha 90.00
_cell_angle_beta 90.00
_cell_angle_gamma 90.00
loop_
_atom_site_label
_atom_site_type_symbol
_atom_site_fract_x
_atom_site_fract_y
_atom_site_fract_z
_atom_site_occupancy
Y1 Y 0.000 0.000 0.000 1
Te1 Te 0.000 0.500 0.500 1
Ir1 Ir 0.500 0.500 0.500 1
```

Calculated values
Total magnetic moment in μB per cell: 0.00
ΔE_f (raw) in eV/atom: -0.0730
Electronic total energy in eV per atom: -5.02
Energy above the lowest structure with this stoichiometry in kJ/mol of formula units: 0
Density of states at the Fermi level in states/eV/f.u.: 3.6


3.
Compound: LaY6Er12
Source: the Alexandria database
Functional: PBE
Structure: optimized geometry

```
data_LaY6Er12
_space_group_name_H-M_alt 'R -3 m'
_space_group_IT_number 166
_space_group_name_Hall '-R 3 2"'
_cell_length_a 13.3613
_cell_length_b 13.3613
_cell_length_c 12.6552
_cell_angle_alpha 90.00
_cell_angle_beta 90.00
_cell_angle_gamma 120.00
loop_
_atom_site_label
_atom_site_type_symbol
_atom_site_fract_x
_atom_site_fract_y
_atom_site_fract_z
_atom_site_occupancy
La1 La 0.0000 0.0000 0.0000 1
Y1 Y 0.0217 0.5109 0.7169 1
Er1 Er 0.0000 0.3817 0.5000 1
Er2 Er 0.0955 0.1909 0.3748 1
```

Calculated values
Total magnetic moment in μB per cell: 0.01
Electronic total energy in eV per atom: -4.73
Energy above the lowest structure with this stoichiometry in kJ/mol of formula units: 33
Density of states at the Fermi level in states/eV/f.u.: 25.9


4.
Compound: Nb2Al2VCo5
Source: the Alexandria database
Functional: PBE
Structure: optimized geometry

```
data_Nb2Al2VCo5
_space_group_name_H-M_alt 'P 4/m b m'
_space_group_IT_number 127
_space_group_name_Hall '-P 4 2ab'
_cell_length_a 9.649
_cell_length_b 9.649
_cell_length_c 2.815
_cell_angle_alpha 90.00
_cell_angle_beta 90.00
_cell_angle_gamma 90.00
loop_
_atom_site_label
_atom_site_type_symbol
_atom_site_fract_x
_atom_site_fract_y
_atom_site_fract_z
_atom_site_occupancy
Nb1 Nb 0.174 0.326 0.000 1
Al1 Al 0.133 0.633 0.000 1
V1 V 0.000 0.000 0.000 1
Co1 Co 0.000 0.500 0.500 1
Co2 Co 0.035 0.805 0.500 1
```

Calculated values
Total magnetic moment in μB per cell: 1.09
Electronic total energy in eV per atom: -7.37
Density of states at the Fermi level in states/eV/f.u.: 9.3


5.
Compound: Hf2V2Tc
Source: the Alexandria database
Functional: PBE
Structure: optimized geometry

```
data_Hf2V2Tc
_space_group_name_H-M_alt 'P 4/m b m'
_space_group_IT_number 127
_space_group_name_Hall '-P 4 2ab'
_cell_length_a 6.235
_cell_length_b 6.235
_cell_length_c 4.552
_cell_angle_alpha 90.00
_cell_angle_beta 90.00
_cell_angle_gamma 90.00
loop_
_atom_site_label
_atom_site_type_symbol
_atom_site_fract_x
_atom_site_fract_y
_atom_site_fract_z
_atom_site_occupancy
Hf1 Hf 0.169 0.331 0.000 1
V1 V 0.141 0.641 0.500 1
Tc1 Tc 0.000 0.000 0.500 1
```

Calculated values
Total magnetic moment in μB per cell: 0.00
Electronic total energy in eV per atom: -9.69
Density of states at the Fermi level in states/eV/f.u.: 8.2


6.
Compound: YFeI2N
Source: the Alexandria database
Functional: PBE
Structure: optimized geometry

```
data_YFeI2N
_space_group_name_H-M_alt 'P 4/m m m'
_space_group_IT_number 123
_space_group_name_Hall '-P 4 2'
_cell_length_a 5.529
_cell_length_b 5.529
_cell_length_c 3.557
_cell_angle_alpha 90.00
_cell_angle_beta 90.00
_cell_angle_gamma 90.00
loop_
_atom_site_label
_atom_site_type_symbol
_atom_site_fract_x
_atom_site_fract_y
_atom_site_fract_z
_atom_site_occupancy
Y1 Y 0.000 0.000 0.000 1
Fe1 Fe 0.500 0.500 0.500 1
I1 I 0.000 0.500 0.500 1
N1 N 0.500 0.500 0.000 1
```

Calculated values
Total magnetic moment in μB per cell: 0.00
ΔE_f (raw) in eV/atom: -0.0047
Electronic total energy in eV per atom: -5.28
Energy above the lowest structure with this stoichiometry in kJ/mol of formula units: 0
Density of states at the Fermi level in states/eV/f.u.: 4.0